Computed, not measured: a geometry-optimized NaNF5 structure at the PBE level of DFT.

a = 4.322 Å, b = 7.053 Å, c = 7.636 Å
α = 108.51°, β = 104.46°, γ = 94.30°
Sites, in units of the cell vectors:
1 Na 0.000 0.000 0.000
2 Na 0.205 0.964 0.532
3 N 0.039 0.378 0.762
4 N 0.796 0.469 0.255
5 F 0.015 0.583 0.441
6 F 0.024 0.119 0.319
7 F 0.057 0.361 0.944
8 F 0.183 0.581 0.817
9 F 0.258 0.889 0.231
10 F 0.467 0.028 0.858
11 F 0.542 0.384 0.304
12 F 0.667 0.625 0.200
13 F 0.710 0.386 0.694
14 F 0.726 0.919 0.675

- energy (eV/atom) = -3.703

---

Computed, not measured: a geometry-optimized CeH6PtAu structure at the PBE level of DFT.

a = 4.854 Å, b = 4.854 Å, c = 4.445 Å
α = 90.00°, β = 90.00°, γ = 120.00°
Sites, in units of the cell vectors:
1 Ce 0.000 0.000 0.000
2 H 0.511 0.023 0.224
3 H 0.511 0.023 0.776
4 H 0.511 0.489 0.224
5 H 0.511 0.489 0.776
6 H 0.977 0.489 0.224
7 H 0.977 0.489 0.776
8 Pt 0.667 0.333 0.500
9 Au 0.333 0.667 0.500

- DOS at the Fermi energy (states/eV per atom) = 0.5701
- energy (eV/atom) = -4.080

---

Computed, not measured: a geometry-optimized NaHg3Se3 structure at the PBE level of DFT.

a = 8.566 Å, b = 8.566 Å, c = 8.566 Å
α = 56.49°, β = 56.49°, γ = 56.49°
Sites, in units of the cell vectors:
1 Na 0.167 0.167 0.167
2 Na 0.833 0.833 0.833
3 Hg 0.099 0.385 0.707
4 Hg 0.293 0.901 0.615
5 Hg 0.385 0.707 0.099
6 Hg 0.615 0.293 0.901
7 Hg 0.707 0.099 0.385
8 Hg 0.901 0.615 0.293
9 Se 0.056 0.761 0.425
10 Se 0.239 0.575 0.944
11 Se 0.425 0.056 0.761
12 Se 0.575 0.944 0.239
13 Se 0.761 0.425 0.056
14 Se 0.944 0.239 0.575

- DOS at the Fermi energy (states/eV per atom) = 0.2480
- energy (eV/atom) = -2.090

---

Computed, not measured: a geometry-optimized CsK2Y structure at the PBE level of DFT.

a = 16.595 Å, b = 16.595 Å, c = 16.595 Å
α = 13.98°, β = 13.98°, γ = 13.98°
Sites, in units of the cell vectors:
1 Cs 0.000 0.000 0.000
2 K 0.423 0.423 0.423
3 K 0.577 0.577 0.577
4 Y 0.500 0.500 0.500

- formation enthalpy at 0 K (eV/atom) = 0.51
- DOS at the Fermi energy (states/eV per atom) = 1.7526
- energy (eV/atom) = -1.869

---

What is the formula in the second record? CeH6PtAu